Mg6TiCoO8: relaxed, PBE+U.

Geometry as POSCAR:
```
Mg6TiCoO8
1.0
-1.6976 3.3640 -1.9768
-0.1804 -2.2212 -3.6249
-7.9416 -2.7757 2.0962
O Mg Ti Co
8 6 1 1
Direct
0.0000 0.5000 0.5000
0.0000 0.0000 0.7334
0.0000 0.0000 0.2666
0.5000 0.0000 0.5000
0.5000 0.5000 0.7486
0.5000 0.5000 0.2514
0.0000 0.5000 0.0000
0.5000 0.0000 0.0000
0.5000 0.0000 0.7622
0.5000 0.5000 0.0000
0.5000 0.5000 0.5000
0.0000 0.5000 0.2378
0.0000 0.5000 0.7622
0.5000 0.0000 0.2378
0.0000 0.0000 0.5000
0.0000 0.0000 0.0000
```

Energy relative to the lowest polymorph listed for this composition   0.019 eV per atom
Symmetry   P4/mmm (123)
VASP energy   -6.30 eV per atom
Size of the total moment   2.94 μB per cell
Mass density   4.0 g cm⁻³